Entry from the Alexandria database: CeTmPdAu after structural relaxation (GGA-PBE).

Lattice parameters (Å, degrees): 5.0675 5.0675 5.0675 60.00 60.00 60.00
Positions (direct):
Ce 0.0000 0.0000 0.0000
Tm 0.5000 0.5000 0.5000
Pd 0.2500 0.2500 0.2500
Au 0.7500 0.7500 0.7500

Computed properties:
- Energy of formation from the pure elements: -0.73 eV per atom
- Total energy: -21.808 eV for the cell shown
- Crystal system: cubic
- V: 92 Å³/cell
- Magnetic moment: 0.197 μB per atom



Entry from the Alexandria database: ErGa6Fe after structural relaxation (GGA-PBE).

Lattice parameters (Å, degrees): 7.4176 7.4176 7.4176 60.00 60.00 60.00
Positions (direct):
Er 0.0000 0.0000 0.0000
Ga 0.2825 0.2825 0.7175
Ga 0.2825 0.7175 0.2825
Ga 0.2825 0.7175 0.7175
Ga 0.7175 0.2825 0.2825
Ga 0.7175 0.2825 0.7175
Ga 0.7175 0.7175 0.2825
Fe 0.5000 0.5000 0.5000

Computed properties:
- Energy of formation from the pure elements: 0.39 eV per atom
- Total energy: -28.036 eV for the cell shown
- Crystal system: cubic
- V: 289 Å³/cell
- Magnetic moment: 0.000 μB per atom



Entry from the Alexandria database: Ag8Pd2Au after structural relaxation (GGA-PBE).

Lattice parameters (Å, degrees): 7.5154 7.5154 5.1777 108.31 108.31 117.77
Positions (direct):
Ag 0.0971 0.3282 0.6098
Ag 0.2183 0.7817 0.0000
Ag 0.3282 0.0971 0.6098
Ag 0.4100 0.4100 0.1778
Ag 0.5900 0.5900 0.8222
Ag 0.6718 0.9029 0.3902
Ag 0.7817 0.2183 0.0000
Ag 0.9029 0.6718 0.3902
Pd 0.3069 0.6931 0.5000
Pd 0.6931 0.3069 0.5000
Au 0.0000 0.0000 0.0000

Computed properties:
- Energy of formation from the pure elements: 0.14 eV per atom
- Total energy: -34.948 eV for the cell shown
- Distance to the lowest polymorph of the same formula: 169 meV/atom
- Crystal system: monoclinic
- V: 205 Å³/cell
- Magnetic moment: 0.000 μB per atom



D(E_F) for the records above, in order: 1.807; 1.008; 0.321 states/eV/atom